Entry 1:
DFT (PBE) results for a relaxed structure of Pm2PrDyY5.

Calculated values
SG: I4/mcm, No. 140
Fermi-level density of states: 10.33 states/eV/f.u.

Lattice parameters (Å, degrees): 8.668 8.668 9.995 115.69 115.69 90.00
Positions (direct):
Y: 0.069 0.569 0.725
Y: 0.155 0.069 0.725
Dy: 0.750 0.750 0.500
Pr: 0.750 0.250 0.500
Pm: 0.618 0.118 0.000
Pm: 0.882 0.618 0.000
Dy: 0.250 0.250 0.500
Y: 0.000 0.000 0.000
Pr: 0.250 0.750 0.500
Y: 0.655 0.155 0.725
Y: 0.500 0.500 0.000
Pm: 0.382 0.882 0.000
Y: 0.431 0.345 0.275
Y: 0.569 0.655 0.725
Y: 0.845 0.931 0.275
Y: 0.931 0.431 0.275
Pm: 0.118 0.382 0.000
Y: 0.345 0.845 0.275


Entry 2:
DFT (PBE) results for a relaxed structure of TbScZnPt.

Calculated values
SG: F-43m, No. 216
Polymorph energy (0 for the lowest one): 0.030 eV/atom
Fermi-level density of states: 3.66 states/eV/f.u.

Lattice parameters (Å, degrees): 4.861 4.861 4.861 60.00 60.00 60.00
Positions (direct):
Sc: 0.500 0.500 0.500
Zn: 0.250 0.250 0.250
Tb: 0.000 0.000 0.000
Pt: 0.750 0.750 0.750


no.,energy of formation (eV per formula unit)
1,2.19
2,-3.08